Compound: BaCa3
Source: Alexandria via LeMat-Bulk
Functional: meta-GGA SCAN
Structure: PBEsol geometry

It has space group Pmmm (No. 47), with a = 4.0514 Å, b = 5.3867 Å, c = 8.1695 Å, α = 90.00°, β = 90.00° and γ = 90.00°. The inequivalent atoms are Ba at (0.0000, 0.0000, 0.0000), Ca at (0.0000, 0.0000, 0.5000) and Ca at (0.5000, 0.5000, 0.2666).


Compound: BaCa4
Source: Alexandria via LeMat-Bulk
Functional: meta-GGA SCAN
Structure: PBEsol geometry

It has space group I4/m (No. 87), with a = 9.0083 Å, b = 9.0083 Å, c = 5.6528 Å, α = 90.00°, β = 90.00° and γ = 90.00°. The inequivalent atoms are Ba at (0.0000, 0.0000, 0.0000) and Ca at (0.0973, 0.3043, 0.5000).


Compound: BaCa
Source: Alexandria via LeMat-Bulk
Functional: meta-GGA SCAN
Structure: PBEsol geometry

As for the energy relative to the lowest polymorph listed for this composition: 0.030 eV per atom.

It has space group Pm-3m (No. 221), with a = 4.6276 Å, b = 4.6276 Å, c = 4.6276 Å, α = 90.00°, β = 90.00° and γ = 90.00°. The inequivalent atoms are Ba at (0.0000, 0.0000, 0.0000) and Ca at (0.5000, 0.5000, 0.5000).


Compound: BaCa3
Source: Alexandria via LeMat-Bulk
Functional: meta-GGA SCAN
Structure: PBEsol geometry

It has space group Imm2 (No. 44), with a = 3.9480 Å, b = 13.0704 Å, c = 6.9073 Å, α = 90.00°, β = 90.00° and γ = 90.00°. The inequivalent atoms are Ba at (0.0000, 0.0000, 0.0000), Ca at (0.0000, 0.2449, 0.6666) and Ca at (0.0000, 0.5000, 0.9978).


Compound: BaCa2
Source: Alexandria via LeMat-Bulk
Functional: meta-GGA SCAN
Structure: PBEsol geometry

As for the energy relative to the lowest polymorph listed for this composition: 0.008 eV per atom.

It has space group Cmcm (No. 63), with a = 3.9711 Å, b = 20.9930 Å, c = 6.5934 Å, α = 90.00°, β = 90.00° and γ = 90.00°. The inequivalent atoms are Ba at (0.0000, 0.1126, 0.2500), Ca at (0.0000, 0.2189, 0.7500) and Ca at (0.0000, 0.4434, 0.2500).


Compound: Ba5Ca
Source: Alexandria via LeMat-Bulk
Functional: meta-GGA SCAN
Structure: PBEsol geometry

As for the energy relative to the lowest polymorph listed for this composition: 0.018 eV per atom.

It has space group P-62m (No. 189), with a = 7.3761 Å, b = 7.3761 Å, c = 6.9627 Å, α = 90.00°, β = 90.00° and γ = 120.00°. The inequivalent atoms are Ba at (0.0000, 0.3291, 0.0000), Ba at (0.3333, 0.6667, 0.5000) and Ca at (0.0000, 0.0000, 0.5000).


Compound: Ba5Ca
Source: Alexandria via LeMat-Bulk
Functional: meta-GGA SCAN
Structure: PBEsol geometry

As for the energy relative to the lowest polymorph listed for this composition: 0.022 eV per atom.

It has space group Cm (No. 8), with a = 15.8517 Å, b = 4.2569 Å, c = 10.1209 Å, α = 90.00°, β = 105.39° and γ = 90.00°. The inequivalent atoms are Ba at (0.0000, 0.0000, 0.0000), Ba at (0.0547, 0.0000, 0.5974), Ba at (0.2186, 0.5000, 0.9405), Ba at (0.3259, 0.0000, 0.6527), Ba at (0.3817, 0.0000, 0.2712) and Ca at (0.1635, 0.5000, 0.3246).


Compound: BaCa
Source: Alexandria via LeMat-Bulk
Functional: meta-GGA SCAN
Structure: PBEsol geometry

As for the energy relative to the lowest polymorph listed for this composition: 0.024 eV per atom.

It has space group Pmmn (No. 59, origin choice 2), with a = 4.0673 Å, b = 6.6352 Å, c = 7.1021 Å, α = 90.00°, β = 90.00° and γ = 90.00°. The inequivalent atoms are Ba at (0.2500, 0.2500, 0.0915) and Ca at (0.2500, 0.7500, 0.4163).


Number 1: total magnetic moment 0.072 μB per atom, energy -17.099 eV/atom. Number 2: total magnetic moment 0.097 μB per atom, energy -15.610 eV/atom. Number 3: total magnetic moment 0.252 μB per atom, energy -24.549 eV/atom. Number 4: total magnetic moment 0.001 μB per atom, energy -17.086 eV/atom. Number 5: total magnetic moment 0.021 μB per atom, energy -19.581 eV/atom. Number 6: total magnetic moment 0.010 μB per atom, energy -34.533 eV/atom. Number 7: total magnetic moment 0.006 μB per atom, energy -34.529 eV/atom. Number 8: total magnetic moment 0.025 μB per atom, energy -24.555 eV/atom.